A geometry-optimized Cd6HgAu3 structure. Source: the Alexandria database, functional PBE-GGA.

It has space group P2_1/m (No. 11), with a = 9.070 Å, b = 4.329 Å, c = 11.829 Å, α = 90.00°, β = 104.17° and γ = 90.00°. Symmetry generates all atoms from Cd at (0.069, 0.250, 0.428), Cd at (0.070, 0.250, 0.923), Cd at (0.212, 0.750, 0.303), Cd at (0.247, 0.750, 0.831), Cd at (0.298, 0.750, 0.584), Cd at (0.422, 0.250, 0.056), Hg at (0.477, 0.250, 0.747), Au at (0.119, 0.250, 0.683), Au at (0.231, 0.750, 0.069) and Au at (0.391, 0.250, 0.448).

The value obtained for the formation energy is -10 kJ/mol of atoms. The value obtained for the density of states at the Fermi level is 4.5 states/eV/cell. The value obtained for the electronic total energy is -1.663 eV/atom. The polymorph energy (0 for the lowest one) is 0 meV/atom.